This record from Alexandria via LeMat-Bulk describes RhAuSe2 after structural relaxation. The functional is PBE-GGA.

Computed properties:
- Raw formation energy: -0.147 eV per atom
- N(E_F): 0.15 states/eV/cell

Cell: 7.700 3.729 12.739 Å, 90.00 90.00 90.00°
Space group Pnma (No. 62)
Symmetry-distinct sites (fractional):
1 Rh 0.052 0.250 0.116 [4 per cell]
2 Au 0.033 0.750 0.414 [4 per cell]
3 Se 0.145 0.250 0.931 [4 per cell]
4 Se 0.244 0.750 0.169 [4 per cell]